Density functional theory data (GGA-PBE) for a geometry-optimized Na2Hf2Pb structure.

a b c (Å): 3.956 3.956 9.741
angles (deg): 78.29 78.29 90.00
Fractional coordinates of all 5 atoms:
Pb  0.000  0.000  0.000
Hf  0.250  0.750  0.500
Hf  0.750  0.250  0.500
Na  0.403  0.403  0.194
Na  0.597  0.597  0.806

space-group type = I4/mmm (139)
energy above the lowest structure with this stoichiometry = 0.00 kJ per mole of atoms
energy relative to the elements = 0.62 eV per atom
magnetic moment = 0.0 μB per cell
total DFT energy (no corrections) = -23.15 eV for the cell shown